This record from Alexandria via LeMat-Bulk describes an optimized crystal structure of CrCdO2F. The functional is PBE with a Hubbard U.

The structure belongs to space group P4/mmm (No. 123); the cell edges are 4.196, 4.196 and 4.288 Å and the angles 90.00°, 90.00° and 90.00°. The distinct sites, in fractional coordinates, are Cr at (0.000, 0.000, 0.000), Cd at (0.500, 0.500, 0.500), O at (0.000, 0.500, 0.500) and F at (0.500, 0.500, 0.000).

Its calculated total energy is -22.7 eV/cell. The size of the total moment is 3.60 Bohr magnetons per cell.